[1]
Crystalline Nd2HoEr9 at its relaxed geometry. Source: the Alexandria database, functional PBE.

```
data_Nd2HoEr9
_chemical_formula_sum 'Nd2 Ho1 Er9'
_space_group_name_H-M_alt 'P 6/m m m'
_space_group_IT_number 191
_space_group_name_Hall '-P 6 2'
_cell_length_a 11.1880
_cell_length_b 11.1880
_cell_length_c 3.4813
_cell_angle_alpha 90.00
_cell_angle_beta 90.00
_cell_angle_gamma 120.00
loop_
_atom_site_label
_atom_site_fract_x
_atom_site_fract_y
_atom_site_fract_z
Nd1 0.3333 0.6667 0.0000
Ho1 0.0000 0.0000 0.0000
Er1 0.0000 0.5000 0.0000
Er2 0.1739 0.3478 0.5000
```

Summary:
- Formation energy from the elements: 0.0741 eV/atom
- E_tot: -4.524 eV per atom
- Size of the total moment: 0.00 μB per cell
- Relative energy among the computed polymorphs: 49.1 meV per atom

---

[2]
Crystalline AlMoOs at its relaxed geometry. Source: the Alexandria database, functional PBE.

```
data_AlMoOs
_chemical_formula_sum 'Al1 Mo1 Os1'
_space_group_name_H-M_alt 'P 3 m 1'
_space_group_IT_number 156
_cell_length_a 4.2736
_cell_length_b 4.2736
_cell_length_c 2.8170
_cell_angle_alpha 90.00
_cell_angle_beta 90.00
_cell_angle_gamma 120.00
loop_
_space_group_symop_operation_xyz
'x,y,z'
'-y,x-y,z'
'-x+y,-x,z'
'-y,-x,z'
'-x+y,y,z'
'x,x-y,z'
loop_
_atom_site_label
_atom_site_fract_x
_atom_site_fract_y
_atom_site_fract_z
Al1 0.0000 0.0000 0.0000
Mo1 0.6667 0.3333 0.4136
Os1 0.3333 0.6667 0.7610
```

Summary:
- Formation energy from the elements: -0.1068 eV/atom
- E_tot: -8.708 eV per atom
- Size of the total moment: 0.00 μB per cell
- Relative energy among the computed polymorphs: 199.3 meV per atom

---

[3]
Crystalline Y8HgRh2 at its relaxed geometry. Source: the Alexandria database, functional PBE.

```
data_Y8HgRh2
_chemical_formula_sum 'Y16 Hg2 Rh4'
_space_group_name_H-M_alt 'C 1 2/m 1'
_space_group_IT_number 12
_cell_length_a 8.634
_cell_length_b 13.320
_cell_length_c 5.505
_cell_angle_alpha 90.00
_cell_angle_beta 104.29
_cell_angle_gamma 90.00
loop_
_space_group_symop_operation_xyz
'x,y,z'
'-x,-y,-z'
'-x,y,-z'
'x,-y,z'
'x+1/2,y+1/2,z'
'-x+1/2,-y+1/2,-z'
'-x+1/2,y+1/2,-z'
'x+1/2,-y+1/2,z'
loop_
_atom_site_label
_atom_site_fract_x
_atom_site_fract_y
_atom_site_fract_z
Y1 0.000 0.242 0.000
Y2 0.117 0.500 0.808
Y3 0.203 0.129 0.580
Hg1 0.000 0.000 0.000
Rh1 0.000 0.304 0.500
```

Summary:
- Formation energy from the elements: -0.3541 eV/atom
- E_tot: -6.419 eV per atom
- Size of the total moment: 0.00 μB per cell

---

[4]
Crystalline TaTl2Pb at its relaxed geometry. Source: the Alexandria database, functional PBE.

```
data_TaTl2Pb
_chemical_formula_sum 'Ta1 Tl2 Pb1'
_space_group_name_H-M_alt 'P 4/m m m'
_space_group_IT_number 123
_space_group_name_Hall '-P 4 2'
_cell_length_a 3.936
_cell_length_b 3.936
_cell_length_c 6.310
_cell_angle_alpha 90.00
_cell_angle_beta 90.00
_cell_angle_gamma 90.00
loop_
_atom_site_label
_atom_site_fract_x
_atom_site_fract_y
_atom_site_fract_z
Ta1 0.000 0.000 0.000
Tl1 0.500 0.500 0.232
Pb1 0.000 0.000 0.500
```

Summary:
- Formation energy from the elements: 0.6743 eV/atom
- E_tot: -4.399 eV per atom
- Size of the total moment: 0.00 μB per cell
- Relative energy among the computed polymorphs: 283.1 meV per atom

---

[5]
Crystalline NdPa5 at its relaxed geometry. Source: the Alexandria database, functional PBE.

```
data_NdPa5
_chemical_formula_sum 'Nd2 Pa10'
_space_group_name_H-M_alt 'C m m m'
_space_group_IT_number 65
_space_group_name_Hall '-C 2 2'
_cell_length_a 4.682
_cell_length_b 14.202
_cell_length_c 4.706
_cell_angle_alpha 90.00
_cell_angle_beta 90.00
_cell_angle_gamma 90.00
loop_
_atom_site_label
_atom_site_fract_x
_atom_site_fract_y
_atom_site_fract_z
Nd1 0.000 0.000 0.000
Pa1 0.000 0.168 0.500
Pa2 0.000 0.330 0.000
Pa3 0.000 0.500 0.500
```

Summary:
- Formation energy from the elements: 0.1578 eV/atom
- E_tot: -8.550 eV per atom
- Size of the total moment: 0.00 μB per cell

---

[6]
Crystalline RhBrN2F at its relaxed geometry. Source: the Alexandria database, functional PBE.

```
data_RhBrN2F
_chemical_formula_sum 'Rh1 Br1 N2 F1'
_space_group_name_H-M_alt 'P 4/m m m'
_space_group_IT_number 123
_space_group_name_Hall '-P 4 2'
_cell_length_a 4.078
_cell_length_b 4.078
_cell_length_c 4.053
_cell_angle_alpha 90.00
_cell_angle_beta 90.00
_cell_angle_gamma 90.00
loop_
_atom_site_label
_atom_site_fract_x
_atom_site_fract_y
_atom_site_fract_z
Rh1 0.000 0.000 0.000
Br1 0.500 0.500 0.500
N1 0.000 0.500 0.500
F1 0.500 0.500 0.000
```

Summary:
- E_tot: -3.420 eV per atom
- Size of the total moment: 1.86 μB per cell
- Relative energy among the computed polymorphs: 1187.0 meV per atom
- Formation energy without anion corrections: 10.45 eV/f.u.

---

[7]
Crystalline CsCdI4 at its relaxed geometry. Source: the Alexandria database, functional PBE.

```
data_CsCdI4
_chemical_formula_sum 'Cs2 Cd2 I8'
_space_group_name_H-M_alt 'P 1 21/m 1'
_space_group_IT_number 11
_cell_length_a 7.408
_cell_length_b 11.976
_cell_length_c 8.051
_cell_angle_alpha 90.00
_cell_angle_beta 102.40
_cell_angle_gamma 90.00
loop_
_space_group_symop_operation_xyz
'x,y,z'
'-x,-y,-z'
'-x,y+1/2,-z'
'x,-y+1/2,z'
loop_
_atom_site_label
_atom_site_fract_x
_atom_site_fract_y
_atom_site_fract_z
Cs1 0.205 0.250 0.262
Cd1 0.316 0.750 0.250
I1 0.208 0.558 0.037
I2 0.262 0.750 0.576
I3 0.310 0.250 0.773
```

Summary:
- E_tot: -2.049 eV per atom
- Size of the total moment: 2.06 μB per cell
- Formation energy without anion corrections: -4.32 eV/f.u.

---

[8]
Crystalline Ge2BiPdO6 at its relaxed geometry. Source: the Alexandria database, functional PBE.

```
data_Ge2BiPdO6
_chemical_formula_sum 'Ge8 Bi4 Pd4 O24'
_space_group_name_H-M_alt 'C 1 2/c 1'
_space_group_IT_number 15
_cell_length_a 10.727
_cell_length_b 10.166
_cell_length_c 5.695
_cell_angle_alpha 90.00
_cell_angle_beta 108.53
_cell_angle_gamma 90.00
loop_
_space_group_symop_operation_xyz
'x,y,z'
'-x,-y,-z'
'-x,y,-z+1/2'
'x,-y,z+1/2'
'x+1/2,y+1/2,z'
'-x+1/2,-y+1/2,-z'
'-x+1/2,y+1/2,-z+1/2'
'x+1/2,-y+1/2,z+1/2'
loop_
_atom_site_label
_atom_site_fract_x
_atom_site_fract_y
_atom_site_fract_z
Ge1 0.201 0.075 0.223
Bi1 0.000 0.376 0.250
Pd1 0.000 0.226 0.750
O1 0.125 0.440 0.662
O2 0.137 0.232 0.120
O3 0.138 0.039 0.473
```

Summary:
- E_tot: -5.997 eV per atom
- Size of the total moment: 4.21 μB per cell
- Formation energy without anion corrections: -11.91 eV/f.u.

---

[9]
Crystalline Mg8Al2Hg at its relaxed geometry. Source: the Alexandria database, functional PBE.

```
data_Mg8Al2Hg
_chemical_formula_sum 'Mg16 Al4 Hg2'
_space_group_name_H-M_alt 'C 1 2/m 1'
_space_group_IT_number 12
_cell_length_a 15.674
_cell_length_b 4.788
_cell_length_c 7.083
_cell_angle_alpha 90.00
_cell_angle_beta 116.68
_cell_angle_gamma 90.00
loop_
_space_group_symop_operation_xyz
'x,y,z'
'-x,-y,-z'
'-x,y,-z'
'x,-y,z'
'x+1/2,y+1/2,z'
'-x+1/2,-y+1/2,-z'
'-x+1/2,y+1/2,-z'
'x+1/2,-y+1/2,z'
loop_
_atom_site_label
_atom_site_fract_x
_atom_site_fract_y
_atom_site_fract_z
Mg1 0.002 0.000 0.218
Mg2 0.150 0.500 0.927
Mg3 0.154 0.500 0.382
Mg4 0.166 0.000 0.671
Al1 0.184 0.000 0.181
Hg1 0.000 0.500 0.500
```

Summary:
- Formation energy from the elements: -0.0297 eV/atom
- E_tot: -1.897 eV per atom
- Size of the total moment: 0.00 μB per cell
- Relative energy among the computed polymorphs: 10.8 meV per atom

---

[10]
Crystalline Si3HgRu at its relaxed geometry. Source: the Alexandria database, functional PBE.

```
data_Si3HgRu
_chemical_formula_sum 'Si3 Hg1 Ru1'
_space_group_name_H-M_alt 'P m -3 m'
_space_group_IT_number 221
_space_group_name_Hall '-P 4 2 3'
_cell_length_a 4.668
_cell_length_b 4.668
_cell_length_c 4.668
_cell_angle_alpha 90.00
_cell_angle_beta 90.00
_cell_angle_gamma 90.00
loop_
_atom_site_label
_atom_site_fract_x
_atom_site_fract_y
_atom_site_fract_z
Si1 0.000 0.000 0.500
Hg1 0.500 0.500 0.500
Ru1 0.000 0.000 0.000
```

Summary:
- E_tot: -4.804 eV per atom
- Size of the total moment: 0.00 μB per cell
- Relative energy among the computed polymorphs: 0.0 meV per atom
- Formation energy without anion corrections: 1.82 eV/f.u.

---

[11]
Crystalline SrNb2Al2 at its relaxed geometry. Source: the Alexandria database, functional PBE.

```
data_SrNb2Al2
_chemical_formula_sum 'Sr2 Nb4 Al4'
_space_group_name_H-M_alt 'P 4/m b m'
_space_group_IT_number 127
_space_group_name_Hall '-P 4 2ab'
_cell_length_a 8.015
_cell_length_b 8.015
_cell_length_c 3.186
_cell_angle_alpha 90.00
_cell_angle_beta 90.00
_cell_angle_gamma 90.00
loop_
_atom_site_label
_atom_site_fract_x
_atom_site_fract_y
_atom_site_fract_z
Sr1 0.000 0.000 0.000
Nb1 0.169 0.331 0.500
Al1 0.120 0.620 0.000
```

Summary:
- Formation energy from the elements: 0.1625 eV/atom
- E_tot: -5.699 eV per atom
- Size of the total moment: 0.00 μB per cell
- Relative energy among the computed polymorphs: 183.3 meV per atom

---

[12]
Crystalline TmPuGe at its relaxed geometry. Source: the Alexandria database, functional PBE.

```
data_TmPuGe
_chemical_formula_sum 'Tm4 Pu4 Ge4'
_space_group_name_H-M_alt 'F -4 3 m'
_space_group_IT_number 216
_space_group_name_Hall 'F -4 2 3'
_cell_length_a 6.898
_cell_length_b 6.898
_cell_length_c 6.898
_cell_angle_alpha 90.00
_cell_angle_beta 90.00
_cell_angle_gamma 90.00
loop_
_atom_site_label
_atom_site_fract_x
_atom_site_fract_y
_atom_site_fract_z
Tm1 0.000 0.000 0.000
Pu1 0.000 0.000 0.500
Ge1 0.250 0.250 0.250
```

Summary:
- Formation energy from the elements: -0.2658 eV/atom
- E_tot: -8.073 eV per atom
- Size of the total moment: 25.59 μB per cell